No. 1
{
  "formula": "Ca2MnBr",
  "functional": "PBE",
  "state": "optimized geometry",
  "cell": [[0.0000, 3.8609, 3.8609], [3.8609, 0.0000, 3.8609], [3.8609, 3.8609, 0.0000]],
  "species": ["Ca", "Ca", "Mn", "Br"],
  "fractional_positions": [[0.2500, 0.2500, 0.2500], [0.7500, 0.7500, 0.7500], [0.0000, 0.0000, 0.0000], [0.5000, 0.5000, 0.5000]],
  "e_form_raw_ev_per_fu": -0.102,
  "volume_a3_per_cell": 115.10
}

---

No. 2
{
  "formula": "CaMn2Br",
  "functional": "PBE",
  "state": "optimized geometry",
  "cell": [[-1.6945, 2.8925, 4.8473], [1.6945, -2.8925, 4.8473], [1.6945, 2.8925, -4.8473]],
  "species": ["Ca", "Mn", "Mn", "Br"],
  "fractional_positions": [[0.0000, 0.0000, 0.0000], [0.3096, 0.8096, 0.5000], [0.5284, 0.5284, 0.0000], [0.7421, 0.2421, 0.5000]],
  "e_form_raw_ev_per_fu": 1.256,
  "volume_a3_per_cell": 95.03
}